## HfNiIO6 (PBE+U)

Data for a relaxed structure of HfNiIO6.

Summary:
V: 12.35 Å³/atom
raw total energy: -55.92 eV/f.u.
total magnetization: 2.1 μB per cell

a = 5.3497 Å, b = 5.3497 Å, c = 8.9720 Å
α = 90.00°, β = 90.00°, γ = 120.00°
Closest atoms and distances in Å follow each position.
Space group P-31c (No. 163)
Inequivalent atoms, fractional coordinates:
Hf: 0.3333 0.6667 0.2500  6 O 2.10
Ni: 0.0000 0.0000 0.0000  6 O 2.18
I: 0.3333 0.6667 0.7500  6 O 2.02
O: 0.0107 0.3504 0.6299  1 I 2.02, 1 Hf 2.10, 1 Ni 2.18